Record 1
The following is a DFT calculation (GGA-PBE) of a relaxed Hf2ScBe9 crystal. Values from VASP.

* space-group type: No. 166

```
&SYSTEM
  ibrav = 0, nat = 12, ntyp = 3
/
ATOMIC_SPECIES
Hf 178.49 Hf.upf
Sc 44.96 Sc.upf
Be 9.01 Be.upf
CELL_PARAMETERS angstrom
2.335 1.348 7.377
-2.335 1.348 7.377
0.000 -2.696 7.377
ATOMIC_POSITIONS crystal
Hf 0.142 0.142 0.142
Hf 0.858 0.858 0.858
Sc 0.000 0.000 0.000
Be 0.078 0.581 0.581
Be 0.334 0.334 0.334
Be 0.419 0.419 0.922
Be 0.419 0.922 0.419
Be 0.500 0.500 0.500
Be 0.581 0.078 0.581
Be 0.581 0.581 0.078
Be 0.666 0.666 0.666
Be 0.922 0.419 0.419
```

***

Record 2
The following is a DFT calculation (GGA-PBE) of a relaxed HfSc2Be crystal. Values from VASP.

* space-group type: No. 122

```
&SYSTEM
  ibrav = 0, nat = 16, ntyp = 3
/
ATOMIC_SPECIES
Hf 178.49 Hf.upf
Sc 44.96 Sc.upf
Be 9.01 Be.upf
CELL_PARAMETERS angstrom
7.548 0.000 0.000
0.000 7.548 0.000
0.000 0.000 5.629
ATOMIC_POSITIONS crystal
Hf 0.000 0.000 0.000
Hf 0.000 0.500 0.250
Hf 0.500 0.000 0.750
Hf 0.500 0.500 0.500
Sc 0.200 0.250 0.625
Sc 0.250 0.700 0.875
Sc 0.250 0.800 0.375
Sc 0.300 0.250 0.125
Sc 0.700 0.750 0.125
Sc 0.750 0.200 0.375
Sc 0.750 0.300 0.875
Sc 0.800 0.750 0.625
Be 0.000 0.000 0.500
Be 0.000 0.500 0.750
Be 0.500 0.000 0.250
Be 0.500 0.500 0.000
```

***

Record 3
The following is a DFT calculation (GGA-PBE) of a relaxed Hf2ScBe crystal. Values from VASP.

* space-group type: No. 166

```
&SYSTEM
  ibrav = 0, nat = 12, ntyp = 3
/
ATOMIC_SPECIES
Hf 178.49 Hf.upf
Sc 44.96 Sc.upf
Be 9.01 Be.upf
CELL_PARAMETERS angstrom
4.415 0.000 0.000
-2.208 3.824 0.000
0.000 0.000 14.054
ATOMIC_POSITIONS crystal
Hf 0.000 0.000 0.227
Hf 0.000 0.000 0.773
Hf 0.333 0.667 0.439
Hf 0.333 0.667 0.894
Hf 0.667 0.333 0.106
Hf 0.667 0.333 0.561
Sc 0.000 0.000 0.000
Sc 0.333 0.667 0.667
Sc 0.667 0.333 0.333
Be 0.000 0.000 0.500
Be 0.333 0.667 0.167
Be 0.667 0.333 0.833
```

***

Record 4
The following is a DFT calculation (GGA-PBE) of a relaxed HfSc2Be2 crystal. Values from VASP.

* space-group type: No. 127

```
&SYSTEM
  ibrav = 0, nat = 10, ntyp = 3
/
ATOMIC_SPECIES
Hf 178.49 Hf.upf
Sc 44.96 Sc.upf
Be 9.01 Be.upf
CELL_PARAMETERS angstrom
7.296 0.000 0.000
0.000 7.296 0.000
0.000 0.000 3.324
ATOMIC_POSITIONS crystal
Hf 0.000 0.000 0.000
Hf 0.500 0.500 0.000
Sc 0.178 0.322 0.500
Sc 0.322 0.822 0.500
Sc 0.678 0.178 0.500
Sc 0.822 0.678 0.500
Be 0.114 0.614 0.000
Be 0.386 0.114 0.000
Be 0.614 0.886 0.000
Be 0.886 0.386 0.000
```

***

Number 1: total energy -61.470 eV per formula unit, ΔH_f (0 K) -0.141 eV per atom. Number 2: total energy -24.882 eV per formula unit, ΔH_f (0 K) 0.365 eV per atom. Number 3: total energy -28.594 eV per formula unit, ΔH_f (0 K) 0.343 eV per atom. Number 4: total energy -29.702 eV per formula unit, ΔH_f (0 K) 0.073 eV per atom.